Record 1
A plane-wave DFT calculation with PBE-GGA was carried out for a geometry-optimized Sm7SbS5 structure.

Lattice parameters (Å, degrees): 13.1609 4.0749 24.0490 90.00 90.03 90.00
With the nearest neighbours (Å) after each atom.
Space group C2/m (No. 12)
Unique sites:
Sm  0.0201  0.0000  0.2500 [4 per cell]  2 S 2.76
Sm  0.0913  0.5000  0.3886 [4 per cell]  5 S 2.81-2.94
Sm  0.0917  0.5000  0.1115 [4 per cell]  5 S 2.81-2.94
Sm  0.1365  0.0000  0.9629 [4 per cell]  6 S 2.77-2.86
Sm  0.1367  0.0000  0.5370 [4 per cell]  6 S 2.77-2.86
Sm  0.1801  0.5000  0.6730 [4 per cell]  3 S 2.78-2.80
Sm  0.1796  0.5000  0.8270 [4 per cell]  3 S 2.78-2.80
Sb  0.1973  0.5000  0.2499 [4 per cell]  6 Sm 3.10-3.19
S  0.0000  0.5000  0.0000 [2 per cell]  6 Sm 2.86-2.94
S  0.0000  0.5000  0.5000 [2 per cell]  6 Sm 2.86-2.94
S  0.0459  0.0000  0.6410 [4 per cell]  6 Sm 2.76-2.81
S  0.0455  0.0000  0.8590 [4 per cell]  6 Sm 2.76-2.81
S  0.2252  0.0000  0.0697 [4 per cell]  6 Sm 2.78-2.87
S  0.2251  0.0000  0.4302 [4 per cell]  6 Sm 2.78-2.87

Calculated values
Formation energy without anion corrections, kJ/mol of formula units: -2189

---

Record 2
A plane-wave DFT calculation with PBE-GGA was carried out for a geometry-optimized TbPrAl structure.

Lattice parameters (Å, degrees): 3.5103 3.5103 13.8634 90.00 90.00 90.00
With the nearest neighbours (Å) after each atom.
Space group I4mm (No. 107)
Unique sites:
Tb  0.0000  0.0000  0.0000 [2 per cell]  4 Al 3.15, 4 Tb 3.51
Pr  0.0000  0.0000  0.2930 [2 per cell]  4 Al 3.27, 4 Pr 3.51
Al  0.0000  0.0000  0.6396 [2 per cell]  4 Tb 3.15, 4 Pr 3.27, 4 Al 3.51

Calculated values
Offset from the most stable computed form, meV per atom: 3.7
Calculated formation energy, eV/atom: -0.212

---

N(E_F) across the listed records, respectively: 29.94, 4.61 states/eV per cell.